This record from Alexandria via LeMat-Bulk describes crystalline MnNb2Ir5Ru at its relaxed geometry. The functional is PBE.

## Properties
Formation energy   3.8 eV per formula unit
E_tot   -158.26 eV per cell
M_tot   4.63 μB/f.u.
Space-group type   I4/mcm, No. 140

Cell lengths 7.5506, 7.5506, 7.5979 Å; angles 119.79, 119.79, 90.00 degrees
Site moments in Bohr magnetons follow the coordinates.
Sites, in units of the cell vectors:
Mn 0.2500 0.2500 0.5000  4.03
Mn 0.7500 0.7500 0.5000  4.03
Nb 0.1166 0.3834 0.0000  0.05
Nb 0.6166 0.1166 0.0000  0.05
Nb 0.3834 0.8834 0.0000  0.05
Nb 0.8834 0.6166 0.0000  0.05
Ir 0.9363 0.4363 0.2564  0.00
Ir 0.6798 0.1798 0.7436  0.00
Ir 0.0637 0.5637 0.7436  0.00
Ir 0.1798 0.0637 0.7436  0.00
Ir 0.5637 0.6798 0.7436  0.00
Ir 0.8202 0.9363 0.2564  0.00
Ir 0.4363 0.3202 0.2564  0.00
Ir 0.3202 0.8202 0.2564  0.00
Ir 0.5000 0.5000 0.0000  0.08
Ir 0.0000 0.0000 0.0000  0.08
Ru 0.2500 0.7500 0.5000  0.18
Ru 0.7500 0.2500 0.5000  0.18

***

This record from Alexandria via LeMat-Bulk describes crystalline MnNbIrRu2 at its relaxed geometry. The functional is PBE.

## Properties
Formation energy   8.8 eV per formula unit
E_tot   -37.83 eV per cell
M_tot   3.55 μB/f.u.
Space-group type   P4/mmm, No. 123

Cell lengths 4.6022, 4.5261, 4.6022 Å; angles 90.00, 90.00, 90.00 degrees
Site moments in Bohr magnetons follow the coordinates.
Sites, in units of the cell vectors:
Ru 0.0000 0.0000 0.5000  0.24
Ru 0.5000 0.0000 0.0000  0.21
Nb 0.0000 0.0000 0.0000  -0.33
Ir 0.5000 0.5000 0.5000  0.24
Mn 0.0000 0.5000 0.0000  3.11

***

This record from Alexandria via LeMat-Bulk describes crystalline TaMnNb2Ir at its relaxed geometry. The functional is PBE.

## Properties
Formation energy   3.8 eV per formula unit
E_tot   -46.25 eV per cell
M_tot   0.00 μB/f.u.
Space-group type   P4/mmm, No. 123

Cell lengths 4.4712, 4.5683, 4.4712 Å; angles 90.00, 90.00, 90.00 degrees
Sites, in units of the cell vectors:
Nb 0.0000 0.0000 0.5000
Nb 0.5000 0.0000 0.0000
Ir 0.5000 0.5000 0.5000
Mn 0.0000 0.0000 0.0000
Ta 0.0000 0.5000 0.0000

***

This record from Alexandria via LeMat-Bulk describes crystalline MnNbTeIr2 at its relaxed geometry. The functional is PBE.

## Properties
Energy relative to the elements, uncorrected   1525 meV/atom
E_tot   -32.48 eV per cell
M_tot   2.88 μB/f.u.
Space-group type   P4/mmm, No. 123

Cell lengths 4.8310, 5.0355, 4.8310 Å; angles 90.00, 90.00, 90.00 degrees
Site moments in Bohr magnetons follow the coordinates.
Sites, in units of the cell vectors:
Nb 0.0000 0.5000 0.0000  -0.98
Ir 0.0000 0.0000 0.5000  -0.27
Ir 0.5000 0.0000 0.0000  -0.18
Te 0.0000 0.0000 0.0000  0.03
Mn 0.5000 0.5000 0.5000  4.28

***

This record from Alexandria via LeMat-Bulk describes crystalline TiMnNbIr at its relaxed geometry. The functional is PBE.

## Properties
Formation energy   -1.6 eV per formula unit
E_tot   -37.64 eV per cell
M_tot   0.41 μB/f.u.
Space-group type   F-43m, No. 216

Cell lengths 4.3908, 4.3908, 4.3908 Å; angles 60.00, 60.00, 60.00 degrees
Site moments in Bohr magnetons follow the coordinates.
Sites, in units of the cell vectors:
Nb 0.0000 0.0000 0.0000  -0.12
Ir 0.2500 0.2500 0.2500  0.08
Mn 0.7500 0.7500 0.7500  0.64
Ti 0.5000 0.5000 0.5000  -0.14

***

This record from Alexandria via LeMat-Bulk describes crystalline MnNb2TlIr at its relaxed geometry. The functional is PBE.

## Properties
Formation energy   4.0 eV per formula unit
E_tot   -36.54 eV per cell
M_tot   3.11 μB/f.u.
Space-group type   P4/mmm, No. 123

Cell lengths 4.8798, 4.8253, 4.8798 Å; angles 90.00, 90.00, 90.00 degrees
Site moments in Bohr magnetons follow the coordinates.
Sites, in units of the cell vectors:
Tl 0.5000 0.5000 0.5000  -0.01
Ir 0.0000 0.0000 0.0000  0.07
Nb 0.0000 0.0000 0.5000  -0.31
Nb 0.5000 0.0000 0.0000  -0.43
Mn 0.0000 0.5000 0.0000  3.76

***

This record from Alexandria via LeMat-Bulk describes crystalline UMnNbIr at its relaxed geometry. The functional is PBE.

## Properties
Formation energy   0.2 eV per formula unit
E_tot   -39.23 eV per cell
M_tot   3.60 μB/f.u.
Space-group type   F-43m, No. 216

Cell lengths 4.5530, 4.5530, 4.5530 Å; angles 60.00, 60.00, 60.00 degrees
Site moments in Bohr magnetons follow the coordinates.
Sites, in units of the cell vectors:
Nb 0.2500 0.2500 0.2500  -0.08
Ir 0.0000 0.0000 0.0000  0.22
U 0.5000 0.5000 0.5000  0.98
Mn 0.7500 0.7500 0.7500  2.37

***

This record from Alexandria via LeMat-Bulk describes crystalline MnNbVIr at its relaxed geometry. The functional is PBE.

## Properties
Formation energy   -1.0 eV per formula unit
E_tot   -38.27 eV per cell
M_tot   2.10 μB/f.u.
Space-group type   F-43m, No. 216

Cell lengths 4.3449, 4.3449, 4.3449 Å; angles 60.00, 60.00, 60.00 degrees
Site moments in Bohr magnetons follow the coordinates.
Sites, in units of the cell vectors:
Nb 0.7500 0.7500 0.7500  -0.63
Ir 0.2500 0.2500 0.2500  0.18
Mn 0.5000 0.5000 0.5000  2.70
V 0.0000 0.0000 0.0000  -0.15

***

This record from Alexandria via LeMat-Bulk describes crystalline MnNbZnIr2 at its relaxed geometry. The functional is PBE.

## Properties
Formation energy   4.8 eV per formula unit
E_tot   -33.44 eV per cell
M_tot   0.00 μB/f.u.
Space-group type   P4/mmm, No. 123

Cell lengths 4.4834, 4.5125, 4.4834 Å; angles 90.00, 90.00, 90.00 degrees
Sites, in units of the cell vectors:
Nb 0.0000 0.5000 0.0000
Ir 0.0000 0.0000 0.5000
Ir 0.5000 0.0000 0.0000
Zn 0.5000 0.5000 0.5000
Mn 0.0000 0.0000 0.0000

***

This record from Alexandria via LeMat-Bulk describes crystalline Nd2MnIr2 at its relaxed geometry. The functional is PBE.

## Properties
Formation energy   -2.5 eV per formula unit
E_tot   -77.77 eV per cell
M_tot   3.93 μB/f.u.
Space-group type   C2/c, No. 15

Cell lengths 5.7629, 5.7629, 7.9388 Å; angles 77.33, 77.33, 58.84 degrees
Site moments in Bohr magnetons follow the coordinates.
Sites, in units of the cell vectors:
Nd 0.4908 0.2143 0.1489  -0.04
Nd 0.7857 0.5092 0.3511  -0.04
Nd 0.5092 0.7857 0.8511  -0.04
Nd 0.2143 0.4908 0.6489  -0.04
Mn 0.1219 0.8781 0.2500  3.52
Mn 0.8781 0.1219 0.7500  3.52
Ir 0.7306 0.0033 0.5072  0.15
Ir 0.9967 0.2694 0.9928  0.15
Ir 0.2694 0.9967 0.4928  0.15
Ir 0.0033 0.7306 0.0072  0.15

***

This record from Alexandria via LeMat-Bulk describes crystalline NdMnSi2Ir at its relaxed geometry. The functional is PBE.

## Properties
Energy relative to the elements, uncorrected   -814 meV/atom
E_tot   -37.71 eV per cell
M_tot   2.53 μB/f.u.
Space-group type   I-4m2, No. 119

Cell lengths 4.0504, 4.0504, 5.9142 Å; angles 110.02, 110.02, 90.00 degrees
Site moments in Bohr magnetons follow the coordinates.
Sites, in units of the cell vectors:
Nd 0.0000 0.0000 0.0000  0.03
Mn 0.7500 0.2500 0.5000  2.43
Si 0.6217 0.6217 0.2434  -0.04
Si 0.3783 0.3783 0.7566  -0.04
Ir 0.2500 0.7500 0.5000  0.01

***

This record from Alexandria via LeMat-Bulk describes crystalline MnNiIr at its relaxed geometry. The functional is PBE.

## Properties
Formation energy   0.0 eV per formula unit
E_tot   -23.84 eV per cell
M_tot   2.05 μB/f.u.
Space-group type   I4mm, No. 107

Cell lengths 4.5445, 4.5445, 4.5445 Å; angles 140.32, 140.32, 57.37 degrees
Site moments in Bohr magnetons follow the coordinates.
Sites, in units of the cell vectors:
Ir 0.9985 0.9985 0.0000  -0.17
Mn 0.3272 0.3272 0.0000  2.51
Ni 0.6743 0.6743 0.0000  -0.35

***

This record from Alexandria via LeMat-Bulk describes crystalline Mn3NiIr at its relaxed geometry. The functional is PBE.

## Properties
Formation energy   7.3 eV per formula unit
E_tot   -34.88 eV per cell
M_tot   0.92 μB/f.u.
Space-group type   Pm-3m, No. 221

Cell lengths 4.1215, 4.1215, 4.1215 Å; angles 90.00, 90.00, 90.00 degrees
Site moments in Bohr magnetons follow the coordinates.
Sites, in units of the cell vectors:
Ni 0.0000 0.0000 0.0000  -0.43
Ir 0.5000 0.5000 0.5000  0.33
Mn 0.0000 0.5000 0.0000  -0.41
Mn 0.0000 0.0000 0.5000  -0.16
Mn 0.5000 0.0000 0.0000  -0.28